The following is a GGA-PBE calculation of an optimized crystal structure of ScMnSi2, from the Alexandria database.

Lattice parameters (Å, degrees): 7.603 3.128 5.249 90.00 103.10 90.00
Space group C2/m (No. 12)
Asymmetric unit:
Sc 0.000 0.000 0.000 (multiplicity 2)
Mn 0.000 0.500 0.500 (multiplicity 2)
Si 0.234 0.000 0.671 (multiplicity 4)

Computed properties:
* calculated volume: 15.198 A^3/atom
* uncorrected energy: -7.009 eV per atom
* formation energy (no corrections): -0.422 eV per atom